The following is a DFT calculation (PBE) of Pa2Zn5Pt after structural relaxation.

```
Pa2Zn5Pt
1.0
-2.178 0.508 3.517
-4.335 -5.639 -4.338
4.649 -6.513 3.820
Zn Pa Pt
10 4 2
Cartesian
1.272 -5.748 4.088
-1.354 -7.136 0.193
0.776 -6.002 1.348
-3.954 -3.800 0.570
0.780 -10.126 1.946
-3.136 -5.895 -1.090
-0.509 -4.507 2.805
-2.644 -1.517 1.052
-2.640 -5.641 1.650
2.090 -7.843 2.428
2.324 -3.256 1.910
-0.942 -3.717 -0.046
-0.921 -7.926 3.044
0.000 0.000 0.000
-0.513 -1.957 2.434
-1.350 -9.686 0.564
```

Output
Space-group type = Cmcm (63)
Volume = 298 Å³/cell
ΔE_f = -28.07 kJ/mol of atoms
DFT total energy = -67.46 eV for the cell shown



The following is a DFT calculation (PBE) of PrDyTm3 after structural relaxation.

```
PrDyTm3
1.0
-0.202 0.673 -3.541
1.862 -8.342 0.063
-11.123 -2.482 0.164
Tm Pr Dy
6 2 2
Cartesian
1.484 -6.723 -0.536
-1.384 -7.042 -2.378
-5.400 -2.190 -2.860
-10.947 -3.428 -2.778
-8.079 -3.109 -0.936
-4.062 -7.960 -0.454
-7.571 -5.527 -3.063
-1.892 -4.623 -0.250
-6.870 -8.608 -2.130
-2.593 -1.542 -1.184
```

Output
Space-group type = P2_1/m (11)
Volume = 344 Å³/cell
ΔE_f = 28.23 kJ/mol of atoms
DFT total energy = -42.67 eV for the cell shown
Distance to the lowest polymorph of the same formula = 281.8 meV/atom



The following is a DFT calculation (PBE) of KHg2Pd after structural relaxation.

```
KHg2Pd
1.0
5.570 0.000 0.000
0.000 5.570 0.000
2.785 2.785 9.103
K Hg Pd
2 4 2
Cartesian
2.785 5.570 4.552
2.785 2.785 0.000
5.031 1.392 2.276
4.177 3.324 6.828
6.109 4.177 2.276
6.962 2.246 6.828
0.000 0.000 0.000
5.570 2.785 4.552
```

Output
Space-group type = I-42d (122)
Volume = 282 Å³/cell
ΔE_f = -7.87 kJ/mol of atoms
DFT total energy = -14.44 eV for the cell shown
Distance to the lowest polymorph of the same formula = 134.3 meV/atom



The following is a DFT calculation (PBE) of Y2HBr after structural relaxation.

```
Y2HBr
1.0
0.000 3.450 3.450
3.450 0.000 3.450
3.450 3.450 0.000
H Br Y
1 1 2
Cartesian
0.000 0.000 0.000
3.450 3.450 3.450
1.725 1.725 1.725
5.175 5.175 5.175
```

Output
Space-group type = Fm-3m (225)
Volume = 82 Å³/cell
DFT total energy = -18.42 eV for the cell shown
Distance to the lowest polymorph of the same formula = 596.3 meV/atom



The following is a DFT calculation (PBE) of CrSn2Bi after structural relaxation.

```
CrSn2Bi
1.0
4.369 0.000 0.000
0.000 4.369 0.000
2.185 2.185 11.074
Sn Bi Cr
4 2 2
Cartesian
5.461 5.410 8.306
3.226 1.092 2.769
3.277 3.328 8.306
1.143 3.277 2.769
4.369 2.185 5.537
0.000 0.000 0.000
2.185 2.185 0.000
2.185 4.369 5.537
```

Output
Space-group type = I-42d (122)
Volume = 211 Å³/cell
ΔE_f = 33.12 kJ/mol of atoms
DFT total energy = -40.27 eV for the cell shown



The following is a DFT calculation (PBE) of Er4TmCd5 after structural relaxation.

```
Er4TmCd5
1.0
3.705 0.000 0.000
0.000 3.705 0.000
0.000 0.000 18.585
Cd Er Tm
5 4 1
Cartesian
1.853 1.853 9.293
1.853 1.853 5.570
1.853 1.853 13.016
1.853 1.853 1.842
1.853 1.853 16.744
0.000 0.000 14.878
0.000 0.000 3.708
0.000 0.000 11.155
0.000 0.000 7.431
0.000 0.000 0.000
```

Output
Space-group type = P4/mmm (123)
Volume = 255 Å³/cell
ΔE_f = -30.39 kJ/mol of atoms
DFT total energy = -30.45 eV for the cell shown



The following is a DFT calculation (PBE) of KZrTl after structural relaxation.

```
KZrTl
1.0
2.420 -12.730 0.000
2.420 12.730 0.000
0.000 0.000 3.652
Tl K Zr
2 2 2
Cartesian
2.420 -11.366 0.913
2.420 11.366 2.739
2.420 -8.264 2.739
2.420 8.264 0.913
2.420 -1.193 0.913
2.420 1.193 2.739
```

Output
Space-group type = Cmcm (63)
Volume = 225 Å³/cell
ΔE_f = 12.61 kJ/mol of atoms
DFT total energy = -23.24 eV for the cell shown
Distance to the lowest polymorph of the same formula = 107.8 meV/atom



The following is a DFT calculation (PBE) of CsReSeBr2 after structural relaxation.

```
CsReSeBr2
1.0
-4.924 -3.651 1.155
3.828 -4.747 1.311
0.102 1.593 5.470
Se Br Re Cs
1 2 1 1
Cartesian
0.051 0.796 2.735
-2.462 -1.826 0.577
1.914 -2.374 0.656
-0.497 -3.403 3.968
0.000 0.000 0.000
```

Output
Space-group type = P4/mmm (123)
Volume = 222 Å³/cell
Raw formation energy = 1.4059 eV per atom
DFT total energy = -13.10 eV for the cell shown
Distance to the lowest polymorph of the same formula = 1728.0 meV/atom



The following is a DFT calculation (PBE) of RbLi2SiRh after structural relaxation.

```
RbLi2SiRh
1.0
5.118 0.000 0.000
0.000 5.118 0.000
0.000 0.000 4.525
Rb Rh Si Li
1 1 1 2
Cartesian
2.559 2.559 2.262
0.000 0.000 0.000
0.000 0.000 2.262
0.000 2.559 0.000
2.559 0.000 0.000
```

Output
Space-group type = P4/mmm (123)
Volume = 119 Å³/cell
Raw formation energy = -0.1210 eV per atom
DFT total energy = -18.17 eV for the cell shown



The following is a DFT calculation (PBE) of ZrFe3S after structural relaxation.

```
ZrFe3S
1.0
4.654 0.000 0.000
0.000 4.654 0.000
0.000 0.000 4.654
Fe Zr S
3 1 1
Cartesian
0.000 2.327 0.000
0.000 0.000 2.327
2.327 0.000 0.000
0.000 0.000 0.000
2.327 2.327 2.327
```

Output
Space-group type = Pm-3m (221)
Volume = 101 Å³/cell
Raw formation energy = 1.6977 eV per atom
DFT total energy = -29.58 eV for the cell shown
Distance to the lowest polymorph of the same formula = 1732.6 meV/atom



The following is a DFT calculation (PBE) of HgSeF4 after structural relaxation.

```
HgSeF4
1.0
-6.364 -5.153 -2.494
1.754 -0.159 -4.145
9.305 -13.651 4.461
Hg F Se
4 16 4
Cartesian
-1.513 -6.400 -4.953
2.192 -5.796 -0.963
2.502 -13.167 -1.216
6.207 -12.564 2.774
1.571 -3.648 -3.819
-0.829 -1.512 -2.106
1.294 -10.664 -3.304
5.762 -8.084 -0.693
5.523 -17.451 -0.073
-0.846 -8.552 -2.206
-0.742 -2.905 -4.102
3.746 -9.715 -1.483
1.273 -1.273 -3.312
-1.067 -10.880 -1.486
3.123 -15.316 1.640
5.437 -16.058 1.922
5.540 -10.411 0.027
3.421 -17.690 1.133
3.401 -8.299 1.125
0.948 -9.248 -0.696
0.381 -2.673 -2.795
5.472 -9.538 -1.600
4.313 -16.290 0.616
-0.778 -9.425 -0.579
```

Output
Space-group type = Pnma (62)
Volume = 660 Å³/cell
Raw formation energy = -1.3753 eV per atom
DFT total energy = -78.09 eV for the cell shown
Distance to the lowest polymorph of the same formula = 0.0 meV/atom



The following is a DFT calculation (PBE) of Sm3TlGe2 after structural relaxation.

```
Sm3TlGe2
1.0
4.301 0.000 -1.360
0.000 4.309 0.000
0.255 0.000 8.283
Sm Tl Ge
3 1 2
Cartesian
2.977 0.000 1.933
2.150 2.155 -0.680
1.579 0.000 4.990
0.000 0.000 0.000
3.810 2.155 4.567
0.745 2.155 2.355
```

Output
Space-group type = Cmmm (65)
Volume = 155 Å³/cell
ΔE_f = -49.96 kJ/mol of atoms
DFT total energy = -28.87 eV for the cell shown



The following is a DFT calculation (PBE) of PrAgC after structural relaxation.

```
PrAgC
1.0
-2.471 2.433 -2.083
-1.925 -4.033 1.501
-0.669 4.280 5.792
Pr Ag C
2 2 2
Cartesian
-3.801 -0.166 0.386
-1.264 2.846 4.823
-2.633 0.343 3.523
-2.432 2.337 1.687
-3.301 1.714 5.916
-1.764 0.967 -0.706
```

Output
Space-group type = C2/m (12)
Volume = 121 Å³/cell
ΔE_f = -13.48 kJ/mol of atoms
DFT total energy = -34.55 eV for the cell shown



The following is a DFT calculation (PBE) of Sc2TcPbC after structural relaxation.

```
Sc2TcPbC
1.0
-2.064 -3.809 1.617
1.365 -2.333 -3.752
3.430 -1.051 1.901
Sc Pb C Tc
2 1 1 1
Cartesian
0.682 -1.166 -1.876
-1.032 -1.904 0.809
1.366 -3.596 -0.117
0.000 0.000 0.000
1.715 -0.526 0.951
```

Output
Space-group type = P4/mmm (123)
Volume = 87 Å³/cell
ΔE_f = -37.74 kJ/mol of atoms
DFT total energy = -37.92 eV for the cell shown



The following is a DFT calculation (PBE) of Rb2HoCu2Se4 after structural relaxation.

```
Rb2HoCu2Se4
1.0
4.055 0.000 0.000
0.000 8.213 0.489
-2.028 -2.806 7.023
Rb Cu Se Ho
2 2 4 1
Cartesian
0.000 3.819 2.126
2.028 1.588 5.387
2.028 7.085 3.040
0.000 -1.679 4.473
2.028 5.139 4.614
2.028 6.224 0.701
0.000 0.268 2.899
0.000 -0.817 6.811
0.000 0.000 0.000
```

Output
Space-group type = C2/m (12)
Volume = 239 Å³/cell
Raw formation energy = -1.0569 eV per atom
DFT total energy = -38.16 eV for the cell shown



The following is a DFT calculation (PBE) of LaNd3Hg2 after structural relaxation.

```
LaNd3Hg2
1.0
-4.820 -1.903 1.072
2.458 -6.783 -0.988
2.308 -0.537 9.425
Nd La Hg
6 2 4
Cartesian
1.563 -2.420 2.735
-0.077 -2.556 8.182
3.372 -3.805 8.408
3.600 -5.999 5.541
-0.367 -5.594 1.482
2.556 -6.721 -0.439
-1.359 -1.274 4.689
0.137 -4.728 5.288
2.148 -2.136 5.868
1.366 -6.401 7.844
-1.490 -2.631 1.692
2.684 -5.366 2.542
```

Output
Space-group type = Pmc2_1 (26)
Volume = 374 Å³/cell
ΔE_f = -31.47 kJ/mol of atoms
DFT total energy = -43.58 eV for the cell shown
Distance to the lowest polymorph of the same formula = 0.0 meV/atom



The following is a DFT calculation (PBE) of Dy4CuAg2Hg after structural relaxation.

```
Dy4CuAg2Hg
1.0
5.120 0.000 0.000
2.560 4.434 0.000
2.560 1.478 8.364
Dy Cu Hg Ag
4 1 1 2
Cartesian
5.120 2.956 7.197
7.680 4.434 3.240
5.120 2.956 1.166
2.560 1.478 5.124
5.120 2.956 4.182
0.000 0.000 0.000
2.560 1.478 2.037
7.680 4.434 6.327
```

Output
Space-group type = R-3m (166)
Volume = 190 Å³/cell
ΔE_f = -32.23 kJ/mol of atoms
DFT total energy = -31.18 eV for the cell shown



The following is a DFT calculation (PBE) of EuYInPt after structural relaxation.

```
EuYInPt
1.0
5.215 0.000 0.000
2.608 4.517 0.000
2.608 1.506 4.258
Pt Eu In Y
1 1 1 1
Cartesian
5.215 3.011 2.129
2.608 1.506 1.065
0.000 0.000 0.000
7.823 4.517 3.194
```

Output
Space-group type = F-43m (216)
Volume = 100 Å³/cell
ΔE_f = -62.77 kJ/mol of atoms
DFT total energy = -28.12 eV for the cell shown



The following is a DFT calculation (PBE) of TcTe2SI after structural relaxation.

```
TcTe2SI
1.0
-1.994 2.922 -3.872
-1.519 -4.352 -2.502
-4.860 0.180 2.638
Te Tc S I
2 1 1 1
Cartesian
-0.760 -2.176 -1.251
-0.997 1.461 -1.936
-4.187 -0.625 -1.868
0.000 0.000 0.000
-2.430 0.090 1.319
```

Output
Space-group type = P4/mmm (123)
Volume = 152 Å³/cell
Raw formation energy = 1.1058 eV per atom
DFT total energy = -16.80 eV for the cell shown
Distance to the lowest polymorph of the same formula = 395.6 meV/atom



The following is a DFT calculation (PBE) of TlMo2Os after structural relaxation.

```
TlMo2Os
1.0
-0.783 -2.457 -3.775
2.421 -3.794 -0.801
-2.002 -4.098 0.314
Mo Os Tl
2 1 1
Cartesian
0.000 0.000 0.000
-0.091 -2.587 -1.066
-0.182 -5.174 -2.131
-0.273 -7.762 -3.197
```

Output
Space-group type = F-43m (216)
Volume = 68 Å³/cell
ΔE_f = 68.48 kJ/mol of atoms
DFT total energy = -32.42 eV for the cell shown
Distance to the lowest polymorph of the same formula = 329.0 meV/atom



The following is a DFT calculation (PBE) of CaMg2 after structural relaxation.

```
CaMg2
1.0
2.963 5.033 0.175
-2.963 5.033 0.175
0.000 3.307 5.872
Mg Ca
4 2
Cartesian
-0.550 4.208 1.611
-0.550 7.512 1.676
0.550 9.165 4.612
0.550 5.861 4.546
-2.351 7.513 4.579
2.351 5.860 1.643
```

Output
Space-group type = C2/c (15)
Volume = 172 Å³/cell
ΔE_f = -0.74 kJ/mol of atoms
DFT total energy = -10.43 eV for the cell shown



The following is a DFT calculation (PBE) of SrCd2PRh2 after structural relaxation.

```
SrCd2PRh2
1.0
4.542 0.000 0.000
0.000 4.542 0.000
0.000 0.000 6.217
Sr Rh Cd P
1 2 2 1
Cartesian
0.000 0.000 3.108
0.000 2.271 0.000
2.271 0.000 0.000
2.271 2.271 1.701
2.271 2.271 4.516
0.000 0.000 0.000
```

Output
Space-group type = P4/mmm (123)
Volume = 128 Å³/cell
ΔE_f = -46.82 kJ/mol of atoms
DFT total energy = -26.54 eV for the cell shown



The following is a DFT calculation (PBE) of Tl2Sn2As after structural relaxation.

```
Tl2Sn2As
1.0
7.492 0.000 0.000
0.000 7.492 0.000
0.000 0.000 5.316
Sn As Tl
4 2 4
Cartesian
2.659 6.405 0.000
4.833 1.087 0.000
1.087 2.659 0.000
6.405 4.833 0.000
0.000 0.000 0.000
3.746 3.746 0.000
5.028 6.210 2.658
1.282 5.028 2.658
6.210 2.464 2.658
2.464 1.282 2.658
```

Output
Space-group type = P4/mbm (127)
Volume = 298 Å³/cell
ΔE_f = 8.53 kJ/mol of atoms
DFT total energy = -33.89 eV for the cell shown
Distance to the lowest polymorph of the same formula = 0.0 meV/atom



The following is a DFT calculation (PBE) of NaGeIr3 after structural relaxation.

```
NaGeIr3
1.0
4.499 0.000 0.000
0.000 4.499 0.000
0.000 0.000 4.499
Ir Ge Na
3 1 1
Cartesian
0.000 2.250 0.000
2.250 0.000 0.000
0.000 0.000 2.250
2.250 2.250 2.250
0.000 0.000 0.000
```

Output
Space-group type = Pm-3m (221)
Volume = 91 Å³/cell
ΔE_f = 211.19 kJ/mol of atoms
DFT total energy = -21.58 eV for the cell shown
Distance to the lowest polymorph of the same formula = 1267.4 meV/atom



The following is a DFT calculation (PBE) of AcTh2Tc after structural relaxation.

```
AcTh2Tc
1.0
4.125 0.000 0.000
2.062 3.572 0.000
2.062 1.191 9.171
Ac Th Tc
1 2 1
Cartesian
4.125 2.381 4.517
2.062 1.191 7.673
2.062 1.191 1.496
4.125 2.381 0.071
```

Output
Space-group type = R3m (160)
Volume = 135 Å³/cell
ΔE_f = 2.95 kJ/mol of atoms
DFT total energy = -29.19 eV for the cell shown
Distance to the lowest polymorph of the same formula = 0.0 meV/atom